A plane-wave DFT calculation with PBE was carried out for a geometry-optimized Tb7PmAl5 structure.

Properties
**DOS(E_F)**: 0.978 states/eV per atom
**Size of the total moment**: 0.0 Bohr magnetons per cell
**Calculated formation energy**: -224 meV/atom
**V**: 682.8 Å³ per cell

Cell: 6.151 10.278 10.802 Å, 90.00 90.00 90.00°
Space group Imm2 (No. 44)
Symmetry-distinct sites (fractional):
Tb  0.000  0.000  0.000 [2 per cell]
Tb  0.000  0.000  0.329 [2 per cell]
Tb  0.000  0.306  0.159 [4 per cell]
Tb  0.000  0.337  0.675 [4 per cell]
Tb  0.000  0.500  0.395 [2 per cell]
Pm  0.000  0.000  0.655 [2 per cell]
Al  0.000  0.500  0.927 [2 per cell]
Al  0.249  0.241  0.421 [8 per cell]

=====

A plane-wave DFT calculation with PBE was carried out for a geometry-optimized KLi2GeAu structure.

Properties
**DOS(E_F)**: 0.195 states/eV per atom
**Energy relative to the lowest polymorph listed for this composition**: 0 meV per atom
**Size of the total moment**: 0.0 Bohr magnetons per cell
**Calculated formation energy**: -213 meV/atom
**V**: 127.5 Å³ per cell

Cell: 5.082 5.082 4.937 Å, 90.00 90.00 90.00°
Space group P4/mmm (No. 123)
Symmetry-distinct sites (fractional):
K  0.000  0.000  0.000 [1 per cell]
Li  0.000  0.500  0.500 [2 per cell]
Ge  0.500  0.500  0.500 [1 per cell]
Au  0.500  0.500  0.000 [1 per cell]

=====

A plane-wave DFT calculation with PBE was carried out for a geometry-optimized TbIn6Ag6 structure.

Properties
**DOS(E_F)**: 0.364 states/eV per atom
**Size of the total moment**: 0.0 Bohr magnetons per cell
**Calculated formation energy**: -150 meV/atom
**V**: 557.7 Å³ per cell

Cell: 5.862 9.688 9.820 Å, 90.00 90.00 90.00°
Space group Immm (No. 71)
Symmetry-distinct sites (fractional):
Tb  0.000  0.000  0.000 [2 per cell]
In  0.000  0.000  0.341 [4 per cell]
In  0.000  0.345  0.000 [4 per cell]
In  0.000  0.500  0.322 [4 per cell]
Ag  0.000  0.262  0.500 [4 per cell]
Ag  0.250  0.250  0.250 [8 per cell]

=====

A plane-wave DFT calculation with PBE was carried out for a geometry-optimized Ca2LaBeAs structure.

Properties
**DOS(E_F)**: 1.084 states/eV per atom
**Size of the total moment**: 0.0 Bohr magnetons per cell
**Calculated formation energy**: 1023 meV/atom
**V**: 224.7 Å³ per cell

Cell: 6.424 6.424 5.446 Å, 90.00 90.00 90.00°
Space group P4/mmm (No. 123)
Symmetry-distinct sites (fractional):
Ca  0.000  0.500  0.000 [2 per cell]
La  0.000  0.000  0.000 [1 per cell]
Be  0.500  0.500  0.500 [1 per cell]
As  0.000  0.000  0.500 [1 per cell]